14
Lattice="5.5890 0.0000 0.0000 0.0000 5.5799 0.0000 -2.7945 0.0000 6.2155" Properties=species:S:1:pos:R:3 comment="NdPuWN4 PBE relaxed" e_form_raw_ev_per_atom=-0.9620 final_energy_ev_per_atom=-10.298 pbc="T T T"
W 2.7945 1.3950 2.9534
N 2.7945 1.3950 5.3072
N 1.3972 2.7899 3.1077
N 0.0000 4.1849 0.9083
W 0.0000 4.1849 3.2621
Nd 0.0000 1.3950 4.8585
Nd 2.7945 4.1849 1.3570
N 0.0000 4.1849 5.1955
N -1.3972 2.7899 3.1077
Pu 2.7945 4.1849 4.9618
N 2.7945 1.3950 1.0199
N -1.3972 0.0000 3.1077
N 1.3972 0.0000 3.1077
Pu 0.0000 1.3950 1.2537


16
Lattice="5.2961 0.0000 0.0000 0.0000 7.5946 0.0000 0.0000 0.0000 10.5907" Properties=species:S:1:pos:R:3 comment="SmDy3Cd4 PBE relaxed" final_energy_ev_per_atom=-3.090 pbc="T T T"
Sm 0.0000 3.7973 5.2953
Dy 2.6470 3.7973 2.6477
Dy 0.0000 0.0000 0.0000
Cd 2.6481 1.8608 0.0000
Cd 2.6481 5.7338 0.0000
Sm 0.0000 3.7973 0.0000
Dy 2.6469 0.0000 2.6477
Dy 2.6492 0.0000 7.9430
Cd 0.0011 5.7336 7.9430
Cd 0.0011 1.8610 7.9430
Cd 2.6481 5.7338 5.2953
Cd 5.2950 5.7336 2.6477
Cd 2.6481 1.8608 5.2953
Dy 2.6492 3.7973 7.9430
Cd 5.2950 1.8610 2.6477
Dy 0.0000 0.0000 5.2953


5
Lattice="-0.0409 -5.8820 -0.9837 5.7916 -0.2906 1.4970 -1.5180 -0.9411 5.6901" Properties=species:S:1:pos:R:3 comment="BaLiPdSe2 PBE relaxed" e_form_raw_ev_per_atom=0.5443 final_energy_ev_per_atom=-2.655 pbc="T T T"
Ba 0.0000 0.0000 0.0000
Se -0.0204 -2.9410 -0.4919
Pd 2.1164 -3.5568 3.1017
Se -0.7590 -0.4706 2.8450
Li 2.8958 -0.1453 0.7485


12
Lattice="4.9477 0.0000 0.0000 0.0000 4.9477 0.0000 0.0000 0.0000 14.8138" Properties=species:S:1:pos:R:3 comment="NdHo9Sc2 PBE relaxed" de_polymorph_ev_per_atom=0.006 final_energy_ev_per_atom=-4.847 pbc="T T T"
Nd 0.0000 0.0000 0.0000
Ho 0.0000 2.4739 2.5635
Ho 2.4739 2.4739 0.0000
Ho 2.4739 2.4739 5.0004
Ho 2.4739 0.0000 12.2503
Ho 0.0000 2.4739 7.4069
Sc 0.0000 0.0000 4.9793
Ho 2.4739 0.0000 7.4069
Ho 2.4739 2.4739 9.8134
Ho 2.4739 0.0000 2.5635
Sc 0.0000 0.0000 9.8345
Ho 0.0000 2.4739 12.2503


5
Lattice="-1.8194 2.2604 4.4009 -1.8522 -3.5236 1.0441 4.3416 -1.5191 2.5751" Properties=species:S:1:pos:R:3 comment="Y2FeSiTc PBE relaxed" e_form_raw_ev_per_atom=0.5828 final_energy_ev_per_atom=-6.853 pbc="T T T"
Fe -0.9261 -1.7618 0.5221
Y -0.9097 1.1302 2.2005
Y 2.1708 -0.7595 1.2875
Tc 0.3350 -1.3911 4.0101
Si 0.0000 0.0000 0.0000


10
Lattice="4.5723 0.0000 0.0000 0.0000 4.5723 0.0000 0.0000 0.0000 10.6513" Properties=species:S:1:pos:R:3 comment="Ba2CdGa3Pt4 PBE relaxed" final_energy_ev_per_atom=-4.540 pbc="T T T"
Ga 0.0000 0.0000 5.3257
Ba 2.2861 0.0000 2.5828
Pt 0.0000 0.0000 0.0000
Ba 0.0000 2.2861 8.0685
Pt 2.2861 2.2861 0.0000
Pt 2.2861 0.0000 6.8429
Pt 0.0000 2.2861 3.8085
Ga 2.2861 0.0000 9.4236
Ga 0.0000 2.2861 1.2278
Cd 2.2861 2.2861 5.3257


10
Lattice="-5.8705 -0.1108 -0.4653 -0.3018 -3.9882 4.7580 -0.2022 5.7475 1.1823" Properties=species:S:1:pos:R:3 comment="NpAl3Zn PBE relaxed" de_polymorph_ev_per_atom=0.000 final_energy_ev_per_atom=-5.160 pbc="T T T"
Al -4.7888 2.0027 4.0225
Np -4.6044 -0.6406 2.3258
Al -6.2227 -2.6626 4.5881
Np -1.7702 2.2890 3.1492
Al -3.0868 4.2556 0.6543
Zn -4.6123 2.4910 1.6801
Al -1.5858 -0.3543 1.4525
Al -0.1518 4.3110 0.8869
Zn -1.7623 -0.8426 3.7949
Al -3.2877 -2.6072 4.8207


5
Lattice="-0.7296 -1.3476 4.6784 0.5554 -5.2801 -1.4342 4.8432 0.2822 0.8366" Properties=species:S:1:pos:R:3 comment="Si2TeAsN PBE relaxed" e_form_raw_ev_per_atom=1.8681 final_energy_ev_per_atom=-3.524 pbc="T T T"
As 0.0000 0.0000 0.0000
Si 2.4216 0.1411 0.4183
Te 0.2777 -2.6400 -0.7171
N 2.3345 -3.1727 2.0404
Si -0.3648 -0.6738 2.3392


Repeat the fifth record exactly.
5
Lattice="-1.8194 2.2604 4.4009 -1.8522 -3.5236 1.0441 4.3416 -1.5191 2.5751" Properties=species:S:1:pos:R:3 comment="Y2FeSiTc PBE relaxed" e_form_raw_ev_per_atom=0.5828 final_energy_ev_per_atom=-6.853 pbc="T T T"
Fe -0.9261 -1.7618 0.5221
Y -0.9097 1.1302 2.2005
Y 2.1708 -0.7595 1.2875
Tc 0.3350 -1.3911 4.0101
Si 0.0000 0.0000 0.0000